Here is a relaxed structure of K2TmVO4 from Alexandria. Energies are from PBE with a Hubbard U.

abc: 5.6818 5.6818 5.6818
angles: 99.02 114.94 114.94
Last column: nearest neighbours and their distance in Å.
Atoms (fractional coordinates):
O 0.8807 0.5647 0.1623  1 V 1.90, 1 Tm 2.13
O 0.5976 0.3160 0.4353  1 V 1.90, 1 Tm 2.13
O 0.1193 0.2816 0.6840  1 V 1.90, 1 Tm 2.13
O 0.4024 0.8377 0.7184  1 V 1.90, 1 Tm 2.13
V 0.0000 0.5000 0.5000  4 O 1.90
K 0.0000 0.0000 0.0000  4 O 2.69
K 0.5000 0.7500 0.2500  8 O 2.95-3.00
Tm 0.5000 0.2500 0.7500  4 O 2.13

Values from the calculation:
* M_tot: 0.0 μB per formula unit
* final energy: -6.3741 eV per atom